# CrInMo2P

A geometry-optimized CrInMo2P structure (GGA-PBE, Alexandria via LeMat-Bulk).

Cell and atoms, written as POSCAR:
```
CrInMo2P
1.0
4.437 0.000 0.000
0.000 4.437 0.000
0.000 0.000 4.836
Cr In Mo P
1 1 2 1
direct
0.000 0.000 0.000
0.500 0.500 0.000
0.000 0.500 0.500
0.500 0.000 0.500
0.500 0.500 0.500
```

Values from the calculation:
The density of states at the Fermi level is 1.137 states/eV per atom. The calculation puts the total magnetization at 0.020 μB/atom. The value obtained for the total energy is -33.41 eV for the cell shown. The formation energy is 116.3 kJ per mole of atoms. For the calculated density, the calculation gives 6798 kg/m³.

# Cr2InMoPt

A geometry-optimized Cr2InMoPt structure (GGA-PBE, Alexandria via LeMat-Bulk).

Cell and atoms, written as POSCAR:
```
Cr2InMoPt
1.0
4.931 0.000 0.000
0.000 4.931 0.000
0.000 0.000 4.811
Cr In Mo Pt
2 1 1 1
direct
0.000 0.500 0.000
0.500 0.000 0.000
0.000 0.000 0.500
0.500 0.500 0.500
0.500 0.500 0.000
```

Values from the calculation:
The density of states at the Fermi level is 1.430 states/eV per atom. The calculation puts the total magnetization at 1.164 μB/atom. The value obtained for the total energy is -33.28 eV for the cell shown. The formation energy is 107.7 kJ per mole of atoms. For the calculated density, the calculation gives 7238 kg/m³.

# Cr2InMoRh

A geometry-optimized Cr2InMoRh structure (GGA-PBE, Alexandria via LeMat-Bulk).

Cell and atoms, written as POSCAR:
```
Cr2InMoRh
1.0
4.604 0.000 0.000
0.000 4.604 0.000
0.000 0.000 4.655
Cr In Mo Rh
2 1 1 1
direct
0.000 0.500 0.000
0.500 0.000 0.000
0.000 0.000 0.000
0.500 0.500 0.500
0.000 0.000 0.500
```

Values from the calculation:
The density of states at the Fermi level is 1.840 states/eV per atom. The calculation puts the total magnetization at 0.000 μB/atom. The value obtained for the total energy is -28.54 eV for the cell shown. The formation energy is 224.4 kJ per mole of atoms. For the calculated density, the calculation gives 7029 kg/m³.

# CrIn2Mo2S6

A geometry-optimized CrIn2Mo2S6 structure (GGA-PBE, Alexandria via LeMat-Bulk).

Cell and atoms, written as POSCAR:
```
CrIn2Mo2S6
1.0
2.874 -5.095 0.000
2.874 5.095 0.000
-1.902 0.000 8.041
Cr In Mo S
1 2 2 6
direct
0.000 0.000 0.000
0.271 0.729 0.500
0.729 0.271 0.500
0.367 0.633 0.000
0.633 0.367 0.000
0.068 0.726 0.167
0.274 0.932 0.833
0.383 0.383 0.203
0.617 0.617 0.797
0.726 0.068 0.167
0.932 0.274 0.833
```

Values from the calculation:
The density of states at the Fermi level is 0.354 states/eV per atom. The calculation puts the total magnetization at 0.104 μB/atom. The uncorrected formation energy comes out at -0.53 eV per atom. The value obtained for the total energy is -67.39 eV for the cell shown. For the calculated density, the calculation gives 4695 kg/m³.

> The lowest total energy belongs to which entry?

CrIn2Mo2S6